## a
# Pm4Ga3Hg

A relaxed Pm4Ga3Hg crystal (PBE-GGA, Alexandria).

The calculated density comes out at 7.67 g/cm³.

The space group is Pmm2 (No. 25) and the conventional cell measures 4.308, 4.377 and 11.366 Å, with angles of 90.00, 90.00 and 90.00 degrees. Symmetry generates all atoms from Pm at (0.000, 0.000, 0.000), Pm at (0.000, 0.500, 0.489), Pm at (0.500, 0.000, 0.709), Pm at (0.500, 0.500, 0.215), Ga at (0.000, 0.000, 0.283), Ga at (0.500, 0.000, 0.425), Ga at (0.500, 0.500, 0.940) and Hg at (0.000, 0.500, 0.777).

## b
# Pm4Ga3Hg

A relaxed Pm4Ga3Hg crystal (PBE-GGA, Alexandria).

The calculated density comes out at 8.02 g/cm³.

The space group is Pmma (No. 51) and the conventional cell measures 10.495, 7.445 and 5.247 Å, with angles of 90.00, 90.00 and 90.00 degrees. Symmetry generates all atoms from Pm at (0.000, 0.244, 0.000), Pm at (0.250, 0.244, 0.499), Ga at (0.000, 0.000, 0.500), Ga at (0.250, 0.000, 0.998), Ga at (0.250, 0.500, 0.999) and Hg at (0.000, 0.500, 0.500).

Q: Which of them is the least stable? A: a.

## a
# Pm6GaHg5

A relaxed Pm6GaHg5 crystal (PBE-GGA, Alexandria).

The calculated density comes out at 8.99 g/cm³.

The space group is C2/m (No. 12) and the conventional cell measures 6.801, 11.669 and 9.302 Å, with angles of 90.00, 103.64 and 90.00 degrees. Symmetry generates all atoms from Pm at (0.230, 0.000, 0.217), Pm at (0.246, 0.163, 0.741), Ga at (0.000, 0.500, 0.000), Hg at (0.000, 0.000, 0.500), Hg at (0.000, 0.197, 0.000) and Hg at (0.000, 0.362, 0.500).

## b
# Pm6GaHg5

A relaxed Pm6GaHg5 crystal (PBE-GGA, Alexandria).

The calculated density comes out at 9.85 g/cm³.

The space group is P2/m (No. 10) and the conventional cell measures 5.342, 7.634 and 8.463 Å, with angles of 90.00, 108.47 and 90.00 degrees. Symmetry generates all atoms from Pm at (0.000, 0.242, 0.000), Pm at (0.338, 0.246, 0.674), Ga at (0.500, 0.000, 0.000), Hg at (0.167, 0.500, 0.336), Hg at (0.168, 0.000, 0.339) and Hg at (0.500, 0.500, 0.000).

Q: Which of them is the least stable? A: a.

## a
# PmGa2Hg

A relaxed PmGa2Hg crystal (PBE-GGA, Alexandria).

The calculated density comes out at 8.93 g/cm³.

The space group is Fm-3m (No. 225) and the conventional cell measures 7.118, 7.118 and 7.118 Å, with angles of 90.00, 90.00 and 90.00 degrees. Symmetry generates all atoms from Pm at (0.000, 0.000, 0.000), Ga at (0.250, 0.250, 0.250) and Hg at (0.000, 0.000, 0.500).

## b
# PmGa2Hg

A relaxed PmGa2Hg crystal (PBE-GGA, Alexandria).

The calculated density comes out at 9.06 g/cm³.

The space group is P4/mmm (No. 123) and the conventional cell measures 4.521, 4.521 and 4.348 Å, with angles of 90.00, 90.00 and 90.00 degrees. Symmetry generates all atoms from Pm at (0.000, 0.000, 0.000), Ga at (0.000, 0.500, 0.500) and Hg at (0.500, 0.500, 0.000).

Q: Which of them is the least stable? A: a.

## a
# PmGa2Hg

A relaxed PmGa2Hg crystal (PBE-GGA, Alexandria).

The calculated density comes out at 8.88 g/cm³.

The space group is Cmmm (No. 65) and the conventional cell measures 5.887, 9.849 and 3.128 Å, with angles of 90.00, 90.00 and 90.00 degrees. Symmetry generates all atoms from Pm at (0.000, 0.000, 0.000), Ga at (0.250, 0.250, 0.500) and Hg at (0.000, 0.500, 0.500).

## b
# PmGa2Hg

A relaxed PmGa2Hg crystal (PBE-GGA, Alexandria).

The calculated density comes out at 5.96 g/cm³.

The space group is R-3m (No. 166, hexagonal axes) and the conventional cell measures 5.0506, 5.0506 and 18.3517 Å, with angles of 90.00, 90.00 and 120.00 degrees. Symmetry generates all atoms from Pm at (0.0000, 0.0000, 0.0000), Ga at (0.0000, 0.0000, 0.3566) and Hg at (0.0000, 0.0000, 0.5000).

Q: Which of them is the least stable? A: b.

## a
# Pm6Ga2Hg

A relaxed Pm6Ga2Hg crystal (PBE-GGA, Alexandria).

The calculated density comes out at 7.58 g/cm³.

The space group is Immm (No. 71) and the conventional cell measures 9.967, 9.976 and 10.660 Å, with angles of 90.00, 90.00 and 90.00 degrees. Symmetry generates all atoms from Pm at (0.000, 0.207, 0.176), Pm at (0.179, 0.225, 0.500), Pm at (0.200, 0.500, 0.254), Ga at (0.000, 0.000, 0.379), Ga at (0.142, 0.000, 0.000), Hg at (0.000, 0.500, 0.000) and Hg at (0.000, 0.500, 0.500).

## b
# Pm6Ga2Hg

A relaxed Pm6Ga2Hg crystal (PBE-GGA, Alexandria).

The calculated density comes out at 7.04 g/cm³.

The space group is C2/m (No. 12) and the conventional cell measures 16.183, 7.291 and 5.094 Å, with angles of 90.00, 108.26 and 90.00 degrees. Symmetry generates all atoms from Pm at (0.000, 0.241, 0.000), Pm at (0.169, 0.247, 0.669), Ga at (0.168, 0.000, 0.168) and Hg at (0.000, 0.500, 0.500).

Q: Which of them is the least stable? A: b.

## a
# PrGaHg

A relaxed PrGaHg crystal (PBE-GGA, Alexandria).

The calculated density comes out at 9.30 g/cm³.

The space group is C2/m (No. 12) and the conventional cell measures 11.132, 4.711 and 7.590 Å, with angles of 90.00, 132.44 and 90.00 degrees. Symmetry generates all atoms from Pr at (0.037, 0.000, 0.290), Ga at (0.154, 0.500, 0.123) and Hg at (0.173, 0.500, 0.734).

## b
# PrGaHg

A relaxed PrGaHg crystal (PBE-GGA, Alexandria).

The calculated density comes out at 9.24 g/cm³.

The space group is P3m1 (No. 156) and the conventional cell measures 4.7488, 4.7488 and 3.7839 Å, with angles of 90.00, 90.00 and 120.00 degrees. Symmetry generates all atoms from Pr at (0.0000, 0.0000, 0.0000), Ga at (0.6667, 0.3333, 0.5030) and Hg at (0.3333, 0.6667, 0.4992).

Q: Which of them is the least stable? A: b.

## a
# PrGaHg

A relaxed PrGaHg crystal (PBE-GGA, Alexandria).

The calculated density comes out at 8.54 g/cm³.

The space group is I4/mmm (No. 139) and the conventional cell measures 11.498, 11.498 and 4.841 Å, with angles of 90.00, 90.00 and 90.00 degrees. Symmetry generates all atoms from Pr at (0.000, 0.220, 0.000), Ga at (0.206, 0.206, 0.500) and Hg at (0.000, 0.374, 0.500).

## b
# PrGaHg

A relaxed PrGaHg crystal (PBE-GGA, Alexandria).

The calculated density comes out at 8.54 g/cm³.

The space group is F-43m (No. 216) and the conventional cell measures 6.838, 6.838 and 6.838 Å, with angles of 90.00, 90.00 and 90.00 degrees. Symmetry generates all atoms from Pr at (0.000, 0.000, 0.000), Ga at (0.250, 0.250, 0.250) and Hg at (0.000, 0.000, 0.500).

Q: Which of them is the least stable? A: a.

## a
# Pr4GaHg

A relaxed Pr4GaHg crystal (PBE-GGA, Alexandria).

The calculated density comes out at 7.10 g/cm³.

The space group is P2/m (No. 10) and the conventional cell measures 5.783, 3.974 and 8.488 Å, with angles of 90.00, 90.06 and 90.00 degrees. Symmetry generates all atoms from Pr at (0.001, 0.000, 0.224), Pr at (0.499, 0.500, 0.705), Ga at (0.000, 0.500, 0.500) and Hg at (0.500, 0.000, 0.000).

## b
# Pr4GaHg

A relaxed Pr4GaHg crystal (PBE-GGA, Alexandria).

The calculated density comes out at 6.87 g/cm³.

The space group is P4/mmm (No. 123) and the conventional cell measures 5.210, 5.210 and 7.425 Å, with angles of 90.00, 90.00 and 90.00 degrees. Symmetry generates all atoms from Pr at (0.000, 0.500, 0.241), Ga at (0.000, 0.000, 0.000) and Hg at (0.500, 0.500, 0.500).

Q: Which of them is the least stable? A: a.

## a
# Pr2GaHg3

A relaxed Pr2GaHg3 crystal (PBE-GGA, Alexandria).

The calculated density comes out at 9.67 g/cm³.

The space group is Imm2 (No. 44) and the conventional cell measures 4.207, 4.557 and 17.082 Å, with angles of 90.00, 90.00 and 90.00 degrees. Symmetry generates all atoms from Pr at (0.000, 0.000, 0.000), Pr at (0.000, 0.500, 0.274), Ga at (0.000, 0.000, 0.434), Hg at (0.000, 0.000, 0.588), Hg at (0.000, 0.500, 0.682) and Hg at (0.000, 0.500, 0.847).

## b
# Pr2GaHg3

A relaxed Pr2GaHg3 crystal (PBE-GGA, Alexandria).

The calculated density comes out at 10.27 g/cm³.

The space group is Fmmm (No. 69) and the conventional cell measures 7.458, 9.753 and 16.959 Å, with angles of 90.00, 90.00 and 90.00 degrees. Symmetry generates all atoms from Pr at (0.243, 0.000, 0.000), Pr at (0.250, 0.250, 0.250), Ga at (0.000, 0.000, 0.334), Hg at (0.000, 0.000, 0.171) and Hg at (0.000, 0.242, 0.415).

Q: Which of them is the least stable? A: a.

## a
# PrGaSnHg

A relaxed PrGaSnHg crystal (PBE-GGA, Alexandria).

The calculated density comes out at 8.84 g/cm³.

The space group is Pmmm (No. 47) and the conventional cell measures 4.538, 4.650 and 4.718 Å, with angles of 90.00, 90.00 and 90.00 degrees. Symmetry generates all atoms from Pr at (0.000, 0.000, 0.000), Ga at (0.500, 0.500, 0.000), Sn at (0.500, 0.000, 0.500) and Hg at (0.000, 0.500, 0.500).

## b
# PrGaSnHg

A relaxed PrGaSnHg crystal (PBE-GGA, Alexandria).

The calculated density comes out at 8.63 g/cm³.

The space group is F-43m (No. 216) and the conventional cell measures 7.415, 7.415 and 7.415 Å, with angles of 90.00, 90.00 and 90.00 degrees. Symmetry generates all atoms from Pr at (0.000, 0.000, 0.000), Ga at (0.250, 0.250, 0.250), Sn at (0.000, 0.000, 0.500) and Hg at (0.250, 0.250, 0.750).

Q: Which of them is the least stable? A: b.

## a
# TbPrGaHg

A relaxed TbPrGaHg crystal (PBE-GGA, Alexandria).

The calculated density comes out at 9.13 g/cm³.

The space group is P4mm (No. 99) and the conventional cell measures 3.670, 3.670 and 7.698 Å, with angles of 90.00, 90.00 and 90.00 degrees. Symmetry generates all atoms from Tb at (0.000, 0.000, 0.000), Pr at (0.000, 0.000, 0.470), Ga at (0.500, 0.500, 0.224) and Hg at (0.500, 0.500, 0.757).

## b
# TbPrGaHg

A relaxed TbPrGaHg crystal (PBE-GGA, Alexandria).

The calculated density comes out at 9.00 g/cm³.

The space group is F-43m (No. 216) and the conventional cell measures 7.494, 7.494 and 7.494 Å, with angles of 90.00, 90.00 and 90.00 degrees. Symmetry generates all atoms from Tb at (0.000, 0.000, 0.000), Pr at (0.000, 0.000, 0.500), Ga at (0.250, 0.250, 0.750) and Hg at (0.250, 0.250, 0.250).

Q: Which of them is the least stable? A: b.

## a
# PrTmGaHg

A relaxed PrTmGaHg crystal (PBE-GGA, Alexandria).

The calculated density comes out at 9.53 g/cm³.

The space group is P4mm (No. 99) and the conventional cell measures 3.651, 3.651 and 7.583 Å, with angles of 90.00, 90.00 and 90.00 degrees. Symmetry generates all atoms from Pr at (0.000, 0.000, 0.000), Tm at (0.000, 0.000, 0.528), Ga at (0.500, 0.500, 0.748) and Hg at (0.500, 0.500, 0.295).

## b
# PrTmGaHg

A relaxed PrTmGaHg crystal (PBE-GGA, Alexandria).

The calculated density comes out at 9.37 g/cm³.

The space group is F-43m (No. 216) and the conventional cell measures 7.435, 7.435 and 7.435 Å, with angles of 90.00, 90.00 and 90.00 degrees. Symmetry generates all atoms from Pr at (0.000, 0.000, 0.000), Tm at (0.000, 0.000, 0.500), Ga at (0.250, 0.250, 0.750) and Hg at (0.250, 0.250, 0.250).

Q: Which of them is the least stable? A: b.